Entry 1:
{"formula": "Er6Tl2Tc", "functional": "PBE-GGA", "state": "relaxed", "cell": [[3.8983, 0.0000, 0.0000], [0.0000, 8.5051, 0.0000], [0.0000, -4.2525, 7.3650]], "species": ["Er", "Er", "Er", "Tc", "Tl", "Er", "Tl", "Er", "Er"], "fractional_positions": [[0.0000, 0.7590, 0.7592], [0.0000, 0.2413, 0.0000], [0.0000, 0.9998, 0.2408], [0.5000, 0.0003, 0.0000], [0.0000, 0.6668, 0.3336], [0.5000, 0.9999, 0.6154], [0.0000, 0.3332, 0.6664], [0.5000, 0.6152, 0.0000], [0.5000, 0.3845, 0.3846]], "energy_ev_per_fu": -44.658, "total_magnetization_mub_per_fu": 0.0}

Entry 2:
{"formula": "Er2TlTc", "functional": "PBE-GGA", "state": "relaxed", "cell": [[3.4760, 0.0000, 0.0000], [1.7380, 3.0103, 0.0000], [1.7380, 1.0034, 10.4012]], "species": ["Er", "Tl", "Tc", "Er"], "fractional_positions": [[0.1043, 0.1043, 0.6871], [0.0000, 0.0000, 0.0000], [0.5000, 0.5000, 0.5000], [0.8957, 0.8957, 0.3129]], "energy_ev_per_fu": -21.311, "total_magnetization_mub_per_fu": 0.0}

Entry 3:
{"formula": "Er6TlTc2", "functional": "PBE-GGA", "state": "relaxed", "cell": [[-4.4842, 5.7491, -4.3113], [-4.7539, -6.6466, 2.2297], [2.9487, 3.1475, 7.2901]], "species": ["Er", "Er", "Er", "Er", "Er", "Er", "Tc", "Tl", "Tl", "Er", "Tc", "Er", "Er", "Er", "Er", "Tc", "Er", "Tc"], "fractional_positions": [[0.9063, 0.7166, 0.1898], [0.7039, 0.3845, 0.6806], [0.7039, 0.0232, 0.3194], [0.7852, 0.2368, 0.0220], [0.4732, 0.2834, 0.1898], [0.2961, 0.6155, 0.3194], [0.5000, 0.3832, 0.8832], [0.0000, 0.0000, 0.0000], [0.0000, 0.5000, 0.5000], [0.5268, 0.7166, 0.8102], [0.3673, 0.0000, 0.3673], [0.0937, 0.2834, 0.8102], [0.7852, 0.7632, 0.5483], [0.2148, 0.2368, 0.4517], [0.2961, 0.9768, 0.6806], [0.5000, 0.6168, 0.1168], [0.2148, 0.7632, 0.9780], [0.6327, 0.0000, 0.6327]], "energy_ev_per_fu": -52.078, "total_magnetization_mub_per_fu": 0.0}

Entry 4:
{"formula": "Er5TlTc2", "functional": "PBE-GGA", "state": "relaxed", "cell": [[6.7611, 0.0000, -3.1916], [-1.5066, 6.5911, -3.1916], [0.1314, 0.1648, 9.0355]], "species": ["Tc", "Er", "Tc", "Er", "Tc", "Er", "Er", "Er", "Er", "Er", "Er", "Tl", "Er", "Tl", "Er", "Tc"], "fractional_positions": [[0.6186, 0.1186, 0.0000], [0.0000, 0.0000, 0.0000], [0.3814, 0.8814, 0.0000], [0.4614, 0.3084, 0.2698], [0.8814, 0.6186, 0.0000], [0.5000, 0.5000, 0.0000], [0.6916, 0.1916, 0.7302], [0.8084, 0.9614, 0.2698], [0.0386, 0.5386, 0.7302], [0.1916, 0.0386, 0.7302], [0.9614, 0.4614, 0.2698], [0.7500, 0.7500, 0.5000], [0.3084, 0.8084, 0.2698], [0.2500, 0.2500, 0.5000], [0.5386, 0.6916, 0.7302], [0.1186, 0.3814, 0.0000]], "energy_ev_per_fu": -47.249, "total_magnetization_mub_per_fu": 0.0}

Entry 5:
{"formula": "Er3TlTc", "functional": "PBE-GGA", "state": "relaxed", "cell": [[5.2727, 0.0000, 0.0000], [-2.6364, 6.3524, -0.5378], [0.0000, -2.8617, 8.0582]], "species": ["Er", "Tl", "Er", "Er", "Tl", "Er", "Tc", "Er", "Tc", "Er"], "fractional_positions": [[0.9239, 0.8477, 0.7698], [0.6275, 0.2551, 0.4969], [0.0761, 0.1523, 0.2302], [0.5877, 0.1754, 0.8797], [0.3725, 0.7449, 0.5031], [0.7865, 0.5730, 0.2732], [0.8189, 0.6377, 0.9802], [0.2135, 0.4270, 0.7268], [0.1811, 0.3623, 0.0198], [0.4123, 0.8246, 0.1203]], "total_magnetization_mub_per_fu": 0.0, "polymorph_energy_ev_per_fu": 0.35}

Entry 6:
{"formula": "Er5TlTc", "functional": "PBE-GGA", "state": "relaxed", "cell": [[-3.6653, -0.0667, -4.6364], [-4.6213, -3.0571, 2.0574], [-7.7221, 8.4889, 2.6894]], "species": ["Er", "Er", "Tc", "Er", "Tl", "Er", "Tc", "Er", "Er", "Er", "Tl", "Er", "Er", "Er"], "fractional_positions": [[0.4560, 0.7942, 0.9369], [0.5440, 0.2058, 0.0631], [0.0000, 0.0000, 0.5000], [0.9919, 0.0081, 0.2500], [0.5954, 0.4046, 0.7500], [0.0798, 0.4160, 0.8752], [0.0000, 0.0000, 0.0000], [0.9202, 0.5840, 0.1248], [0.5840, 0.9202, 0.6248], [0.7942, 0.4560, 0.4369], [0.4046, 0.5954, 0.2500], [0.4160, 0.0798, 0.3752], [0.0081, 0.9919, 0.7500], [0.2058, 0.5440, 0.5631]], "energy_ev_per_fu": -35.599, "total_magnetization_mub_per_fu": 0.0}

Entry 7:
{"formula": "Er6TlTc", "functional": "PBE-GGA", "state": "relaxed", "cell": [[6.7695, 0.0044, -0.0437], [3.3736, 5.9324, -0.0130], [3.3231, 1.9709, 6.3573]], "species": ["Er", "Er", "Er", "Tc", "Er", "Er", "Er", "Tl"], "fractional_positions": [[0.2166, 0.9671, 0.2414], [0.4159, 0.7874, 0.7596], [0.9646, 0.5819, 0.2395], [0.0000, 0.0000, 0.0000], [0.5841, 0.2126, 0.2404], [0.0354, 0.4181, 0.7605], [0.7834, 0.0329, 0.7586], [0.5000, 0.5000, 0.5000]], "energy_ev_per_fu": -39.023, "total_magnetization_mub_per_fu": 0.0}

Entry 8:
{"formula": "Er8Tl2Tc", "functional": "PBE-GGA", "state": "relaxed", "cell": [[5.3977, 0.0000, 0.0000], [0.0000, 6.9677, -0.1037], [-2.6989, -3.1265, 8.0757]], "species": ["Er", "Er", "Tc", "Er", "Er", "Er", "Tl", "Er", "Er", "Er", "Tl"], "fractional_positions": [[0.5977, 0.4106, 0.1954], [0.0139, 0.7800, 0.0279], [0.5000, 0.0000, 0.0000], [0.1926, 0.2577, 0.3852], [0.9861, 0.2200, 0.9722], [0.8074, 0.7423, 0.6148], [0.1829, 0.6932, 0.3657], [0.3554, 0.0741, 0.7109], [0.6446, 0.9259, 0.2891], [0.4023, 0.5894, 0.8046], [0.8171, 0.3068, 0.6343]], "energy_ev_per_fu": -53.379, "total_magnetization_mub_per_fu": 0.0}